The following is a DFT calculation (PBE) of a geometry-optimized Dy3Ho2Tm6Sc structure.

Cell lengths 6.040, 6.040, 11.561 Å; angles 94.99, 94.99, 119.94 degrees
Element x y z (fractional)
Dy 0.166 0.834 0.500
Dy 0.834 0.166 0.500
Dy 0.500 0.500 0.500
Ho 0.333 0.667 0.000
Ho 0.667 0.333 0.000
Tm 0.918 0.587 0.753
Tm 0.751 0.751 0.247
Tm 0.082 0.413 0.247
Tm 0.587 0.918 0.753
Tm 0.249 0.249 0.753
Tm 0.413 0.082 0.247
Sc 0.000 0.000 0.000

Summary:
DFT formation energy, eV per formula unit: 0.4
Fermi-level density of states, states/eV/cell: 17.2
Crystal system: monoclinic
M_tot, μB per atom: 0.00
Density, Mg/m³: 8.66
SG: No. 12

The following is a DFT calculation (PBE) of a geometry-optimized Mn3FeI structure.

Cell lengths 4.578, 4.578, 4.578 Å; angles 90.00, 90.00, 90.00 degrees
Site moments in Bohr magnetons follow the coordinates.
Element x y z (fractional)
I 0.500 0.500 0.500  0.08
Mn 0.000 0.500 0.000  3.56
Mn 0.000 0.000 0.500  3.55
Mn 0.500 0.000 0.000  3.42
Fe 0.000 0.000 0.000  -0.93

Summary:
Fermi-level density of states, states/eV/cell: 5.0
Offset from the most stable computed form, eV/f.u.: 0.00
Crystal system: cubic
M_tot, μB per atom: 2.04
Density, Mg/m³: 6.02
Uncorrected formation energy, eV/atom: 0.96
SG: No. 221

The following is a DFT calculation (PBE) of a geometry-optimized EuReSi2 structure.

Cell lengths 4.141, 4.141, 5.746 Å; angles 68.88, 68.88, 60.00 degrees
Site moments in Bohr magnetons follow the coordinates.
Element x y z (fractional)
Eu 0.500 0.500 0.500  6.69
Re 0.000 0.000 0.000  -0.04
Si 0.709 0.709 0.873  0.00
Si 0.291 0.291 0.127  0.00

Summary:
Fermi-level density of states, states/eV/cell: 8.7
Offset from the most stable computed form, eV/f.u.: 0.00
Crystal system: trigonal
M_tot, μB per atom: 1.73
Density, Mg/m³: 8.44
Uncorrected formation energy, eV/atom: -0.31
SG: No. 166

The following is a DFT calculation (PBE) of a geometry-optimized Rb2SbTeSe5 structure.

Cell lengths 4.540, 10.474, 14.035 Å; angles 90.00, 90.00, 102.52 degrees
Element x y z (fractional)
Rb 0.874 0.748 0.810
Rb 0.115 0.230 0.680
Rb 0.126 0.252 0.310
Rb 0.885 0.770 0.180
Sb 0.564 0.128 0.941
Sb 0.436 0.872 0.441
Te 0.780 0.560 0.533
Te 0.220 0.440 0.033
Se 0.339 0.678 0.996
Se 0.684 0.369 0.888
Se 0.503 0.007 0.788
Se 0.284 0.568 0.652
Se 0.952 0.905 0.535
Se 0.661 0.322 0.496
Se 0.316 0.631 0.388
Se 0.497 0.993 0.288
Se 0.716 0.432 0.152
Se 0.048 0.095 0.035

Summary:
Fermi-level density of states, states/eV/cell: 1.7
Crystal system: orthorhombic
M_tot, μB per atom: 0.00
Density, Mg/m³: 4.15
Uncorrected formation energy, eV/atom: -0.51
SG: No. 36